Record 1
The following is a DFT calculation (PBE) of a relaxed structure of PmDy2Y.

Geometry as POSCAR:
```
PmDy2Y
1.0
-1.1580 -3.3833 0.4184
1.7032 -2.2183 2.2674
-6.7693 1.5741 9.4836
Dy Y Pm
2 1 1
Cartesian
-5.0487 0.7223 7.3577
-1.5426 -1.0135 3.0258
0.3587 -3.7320 1.7964
-3.1035 -2.0179 6.0741
```

## Properties
The energy of formation from the pure elements is 0.0152 eV/atom.



Record 2
The following is a DFT calculation (PBE) of a relaxed structure of Pm3Dy4Y4.

Geometry as POSCAR:
```
Pm3Dy4Y4
1.0
3.5029 0.0000 0.0023
0.0002 5.6841 0.0033
1.7421 2.8247 17.9960
Dy Y Pm
4 4 3
Cartesian
3.4986 2.8336 11.4794
1.7490 2.8365 1.6428
3.4964 5.6725 16.3600
1.7467 5.6754 6.5216
1.7510 5.6762 3.2688
1.7478 2.8332 8.3952
3.4975 5.6757 9.6052
3.4944 2.8327 14.7330
1.7459 5.6742 13.0745
3.4995 2.8348 4.9273
0.0003 5.6842 0.0040
```

## Properties
The energy of formation from the pure elements is 0.0543 eV/atom.



| no. | E (eV/cell) |
| --- | --- |
| 1 | -20.36 |
| 2 | -57.92 |